# TeNCl3

A geometry-optimized TeNCl3 structure (PBE, Alexandria via LeMat-Bulk).

Results
Total moment   3.00 μB per formula unit
Space-group type   Pm-3m
Formation energy (no corrections)   0.701 eV per atom
D(E_F)   0.34 states/eV per atom
Relative energy among the computed polymorphs   0 kJ/mol of formula units

Cell: 5.300 5.300 5.300 Å, 90.00 90.00 90.00°
Last column: magnetic moment on the atom in μB.
Fractional positions:
N (0.500, 0.500, 0.500)  1.94
Te (0.000, 0.000, 0.000)  0.00
Cl (0.000, 0.500, 0.000)  0.01
Cl (0.000, 0.000, 0.500)  0.02
Cl (0.500, 0.000, 0.000)  0.01